[1]
# SrErMg2Au4 (GGA-PBE, optimized geometry)
data_SrErMg2Au4
_chemical_formula_sum 'Sr3 Er3 Mg6 Au12'
_cell_length_a 4.7428
_cell_length_b 4.7428
_cell_length_c 28.2160
_cell_angle_alpha 90.00
_cell_angle_beta 90.00
_cell_angle_gamma 120.00
_space_group_name_H-M_alt 'R -3 m'
_space_group_IT_number 166
_space_group_name_Hall '-R 3 2"'
loop_
_atom_site_label
_atom_site_fract_x
_atom_site_fract_y
_atom_site_fract_z
Sr1 0.0000 0.0000 0.0000
Er1 0.0000 0.0000 0.5000
Mg1 0.0000 0.0000 0.2418
Au1 0.0000 0.0000 0.1205
Au2 0.0000 0.0000 0.3972
# DOS at the Fermi energy	13.7	states/eV/cell
# final energy	-3.52	eV per atom
# magnetization	0.000	μB per formula unit



[2]
# AcCeSmAu (GGA-PBE, optimized geometry)
data_AcCeSmAu
_chemical_formula_sum 'Ac4 Ce4 Sm4 Au4'
_cell_length_a 7.748
_cell_length_b 7.748
_cell_length_c 7.748
_cell_angle_alpha 90.00
_cell_angle_beta 90.00
_cell_angle_gamma 90.00
_space_group_name_H-M_alt 'F -4 3 m'
_space_group_IT_number 216
_space_group_name_Hall 'F -4 2 3'
loop_
_atom_site_label
_atom_site_fract_x
_atom_site_fract_y
_atom_site_fract_z
Ac1 0.000 0.000 0.000
Ce1 0.250 0.250 0.750
Sm1 0.250 0.250 0.250
Au1 0.000 0.000 0.500
# DOS at the Fermi energy	30.7	states/eV/cell
# final energy	-4.52	eV per atom
# magnetization	2.677	μB per formula unit



[3]
# TbCe2MgAs4 (GGA-PBE, optimized geometry)
data_TbCe2MgAs4
_chemical_formula_sum 'Tb1 Ce2 Mg1 As4'
_cell_length_a 7.084
_cell_length_b 4.188
_cell_length_c 7.247
_cell_angle_alpha 90.00
_cell_angle_beta 110.36
_cell_angle_gamma 90.00
_space_group_name_H-M_alt 'P 1 2/m 1'
_space_group_IT_number 10
loop_
_space_group_symop_operation_xyz
'x,y,z'
'-x,-y,-z'
'-x,y,-z'
'x,-y,z'
loop_
_atom_site_label
_atom_site_fract_x
_atom_site_fract_y
_atom_site_fract_z
Tb1 0.000 0.000 0.000
Ce1 0.500 0.000 0.500
Ce2 0.500 0.500 0.000
Mg1 0.000 0.500 0.500
As1 0.245 0.000 0.745
As2 0.248 0.500 0.250
# DOS at the Fermi energy	8.0	states/eV/cell
# final energy	-5.78	eV per atom
# magnetization	0.936	μB per formula unit



[4]
# Y5Se4 (GGA-PBE, optimized geometry)
data_Y5Se4
_chemical_formula_sum 'Y10 Se8'
_cell_length_a 11.435
_cell_length_b 11.435
_cell_length_c 3.938
_cell_angle_alpha 90.00
_cell_angle_beta 90.00
_cell_angle_gamma 90.00
_space_group_name_H-M_alt 'I 4/m'
_space_group_IT_number 87
_space_group_name_Hall '-I 4'
loop_
_atom_site_label
_atom_site_fract_x
_atom_site_fract_y
_atom_site_fract_z
Y1 0.000 0.000 0.000
Y2 0.111 0.781 0.500
Se1 0.080 0.241 0.000
# DOS at the Fermi energy	15.2	states/eV/cell
# final energy	-6.54	eV per atom
# magnetization	0.000	μB per formula unit



[5]
# LaMgTa2 (GGA-PBE, optimized geometry)
data_LaMgTa2
_chemical_formula_sum 'La1 Mg1 Ta2'
_cell_length_a 3.019
_cell_length_b 4.735
_cell_length_c 6.437
_cell_angle_alpha 90.00
_cell_angle_beta 101.49
_cell_angle_gamma 90.00
_space_group_name_H-M_alt 'P 1 m 1'
_space_group_IT_number 6
loop_
_space_group_symop_operation_xyz
'x,y,z'
'x,-y,z'
loop_
_atom_site_label
_atom_site_fract_x
_atom_site_fract_y
_atom_site_fract_z
La1 0.000 0.000 0.000
Mg1 0.633 0.500 0.308
Ta1 0.156 0.000 0.527
Ta2 0.455 0.500 0.733
# DOS at the Fermi energy	4.6	states/eV/cell
# final energy	-7.16	eV per atom
# magnetization	0.000	μB per formula unit



[6]
# ScTe2AsPb (GGA-PBE, optimized geometry)
data_ScTe2AsPb
_chemical_formula_sum 'Sc1 Te2 As1 Pb1'
_cell_length_a 5.589
_cell_length_b 5.589
_cell_length_c 5.117
_cell_angle_alpha 90.00
_cell_angle_beta 90.00
_cell_angle_gamma 90.00
_space_group_name_H-M_alt 'P 4/m m m'
_space_group_IT_number 123
_space_group_name_Hall '-P 4 2'
loop_
_atom_site_label
_atom_site_fract_x
_atom_site_fract_y
_atom_site_fract_z
Sc1 0.000 0.000 0.000
Te1 0.000 0.500 0.000
As1 0.000 0.000 0.500
Pb1 0.500 0.500 0.500
# DOS at the Fermi energy	4.4	states/eV/cell
# final energy	-4.41	eV per atom
# magnetization	0.000	μB per formula unit



Look up the final energy of the sixth one. -4.41 eV per atom



Number 5 is which compound? LaMgTa2